Record 1
Density functional theory data (PBE-GGA) for a geometry-optimized Ho2ErHg structure.

Properties
Energy above the lowest structure with this stoichiometry: 66.8 meV per atom
E_form: -3.616 kcal/mol of atoms
Crystal system: trigonal
Space group: No. 166

Cell: 10.702 10.702 10.702 Å, 19.26 19.26 19.26°
Positions (direct):
Ho (0.243, 0.243, 0.243)
Ho (0.757, 0.757, 0.757)
Er (0.000, 0.000, 0.000)
Hg (0.500, 0.500, 0.500)


Record 2
Density functional theory data (PBE-GGA) for a geometry-optimized Ho7ErHg4 structure.

Properties
E_form: -2.127 kcal/mol of atoms
Crystal system: monoclinic
Space group: No. 12

Cell: 7.796 7.796 9.697 Å, 119.78 119.78 42.55°
Positions (direct):
Ho (0.000, 0.000, 0.000)
Ho (0.234, 0.234, 0.686)
Ho (0.292, 0.292, 0.115)
Ho (0.433, 0.433, 0.595)
Ho (0.567, 0.567, 0.405)
Ho (0.708, 0.708, 0.885)
Ho (0.766, 0.766, 0.314)
Er (0.500, 0.500, 0.000)
Hg (0.047, 0.047, 0.725)
Hg (0.189, 0.189, 0.340)
Hg (0.811, 0.811, 0.660)
Hg (0.953, 0.953, 0.275)